DFT (GGA+U) results for a geometry-optimized Sr2CoSO6 structure.

- Total DFT energy (no corrections): -119.5 eV per cell
- M_tot: 3.0 μB/f.u.

Cell and atoms, written as CIF:
```
data_Sr2CoSO6
_symmetry_space_group_name_H-M 'P 1 21/c 1'
_symmetry_Int_Tables_number 14
_cell_length_a 5.347
_cell_length_b 5.347
_cell_length_c 9.251
_cell_angle_alpha 90.00
_cell_angle_beta 125.29
_cell_angle_gamma 90.00
loop_
_symmetry_equiv_pos_as_xyz
'x,y,z'
'-x,-y,-z'
'-x,y+1/2,-z+1/2'
'x,-y+1/2,z+1/2'
loop_
_atom_site_label
_atom_site_type_symbol
_atom_site_fract_x
_atom_site_fract_y
_atom_site_fract_z
Sr1 Sr 0.250 0.001 0.250
Co1 Co 0.000 0.000 0.500
S1 S 0.500 0.000 0.000
O1 O 0.256 0.504 0.276
O2 O 0.280 0.220 0.008
O3 O 0.292 0.729 0.512
```